Entry 1:
Density functional theory data (PBE) for an optimized crystal structure of TbDyRh.

a = 6.771 Å, b = 6.771 Å, c = 6.771 Å
α = 150.37°, β = 150.37°, γ = 42.39°
Fractional coordinates of all 3 atoms:
Tb: 0.000 0.000 0.000
Dy: 0.261 0.261 0.000
Rh: 0.632 0.632 0.000

Values from the calculation:
Crystal system   tetragonal
Volume   75.66 Å³ per cell
Energy relative to the lowest polymorph listed for this composition   0.089 eV per atom
Size of the total moment   0.000 μB per atom



Entry 2:
Density functional theory data (PBE) for an optimized crystal structure of Tb3DyRh.

a = 7.583 Å, b = 6.516 Å, c = 6.161 Å
α = 90.00°, β = 90.00°, γ = 90.00°
Fractional coordinates of all 10 atoms:
Tb: 0.000 0.151 0.000
Tb: 0.250 0.313 0.507
Tb: 0.250 0.687 0.007
Tb: 0.500 0.849 0.500
Tb: 0.750 0.313 0.507
Tb: 0.750 0.687 0.007
Dy: 0.000 0.848 0.514
Dy: 0.500 0.152 0.014
Rh: 0.000 0.501 0.258
Rh: 0.500 0.499 0.758

Values from the calculation:
Crystal system   orthorhombic
Volume   304.39 Å³ per cell
Energy relative to the lowest polymorph listed for this composition   0.000 eV per atom
Size of the total moment   0.000 μB per atom



Entry 3:
Density functional theory data (PBE) for an optimized crystal structure of Tb3Dy3Rh2.

a = 6.840 Å, b = 6.840 Å, c = 18.080 Å
α = 90.00°, β = 90.00°, γ = 147.81°
Fractional coordinates of all 16 atoms:
Tb: 0.059 0.941 0.589
Tb: 0.059 0.941 0.911
Tb: 0.273 0.727 0.750
Tb: 0.727 0.273 0.250
Tb: 0.941 0.059 0.089
Tb: 0.941 0.059 0.411
Dy: 0.327 0.673 0.560
Dy: 0.327 0.673 0.940
Dy: 0.454 0.546 0.250
Dy: 0.546 0.454 0.750
Dy: 0.673 0.327 0.060
Dy: 0.673 0.327 0.440
Rh: 0.300 0.700 0.138
Rh: 0.300 0.700 0.362
Rh: 0.700 0.300 0.638
Rh: 0.700 0.300 0.862

Values from the calculation:
Crystal system   orthorhombic
Volume   450.71 Å³ per cell
Size of the total moment   0.000 μB per atom



Entry 4:
Density functional theory data (PBE) for an optimized crystal structure of Tb2Dy5Rh4.

a = 12.102 Å, b = 12.102 Å, c = 6.824 Å
α = 92.31°, β = 92.31°, γ = 16.98°
Fractional coordinates of all 11 atoms:
Tb: 0.086 0.086 0.152
Tb: 0.914 0.914 0.848
Dy: 0.134 0.134 0.676
Dy: 0.232 0.232 0.221
Dy: 0.500 0.500 0.500
Dy: 0.768 0.768 0.779
Dy: 0.866 0.866 0.324
Rh: 0.027 0.027 0.801
Rh: 0.332 0.332 0.019
Rh: 0.668 0.668 0.981
Rh: 0.973 0.973 0.199

Values from the calculation:
Crystal system   monoclinic
Volume   291.54 Å³ per cell
Size of the total moment   0.000 μB per atom



Entry 5:
Density functional theory data (PBE) for an optimized crystal structure of TbDyRh.

a = 6.247 Å, b = 6.247 Å, c = 6.606 Å
α = 90.00°, β = 90.00°, γ = 144.23°
Fractional coordinates of all 6 atoms:
Tb: 0.217 0.783 0.750
Tb: 0.783 0.217 0.250
Dy: 0.500 0.500 0.000
Dy: 0.500 0.500 0.500
Rh: 0.117 0.883 0.250
Rh: 0.883 0.117 0.750

Values from the calculation:
Crystal system   orthorhombic
Volume   150.69 Å³ per cell
Energy relative to the lowest polymorph listed for this composition   0.015 eV per atom
Size of the total moment   0.000 μB per atom



Entry 6:
Density functional theory data (PBE) for an optimized crystal structure of TbDyRh.

a = 4.815 Å, b = 4.815 Å, c = 4.815 Å
α = 60.00°, β = 60.00°, γ = 60.00°
Fractional coordinates of all 3 atoms:
Tb: 0.000 0.000 0.000
Dy: 0.500 0.500 0.500
Rh: 0.250 0.250 0.250

Values from the calculation:
Crystal system   cubic
Volume   78.96 Å³ per cell
Energy relative to the lowest polymorph listed for this composition   0.058 eV per atom
Size of the total moment   0.000 μB per atom



Entry 7:
Density functional theory data (PBE) for an optimized crystal structure of Tb2DyRh.

a = 3.515 Å, b = 3.515 Å, c = 8.595 Å
α = 90.00°, β = 90.00°, γ = 90.00°
Fractional coordinates of all 4 atoms:
Tb: 0.000 0.000 0.190
Tb: 0.000 0.000 0.810
Dy: 0.500 0.500 0.500
Rh: 0.500 0.500 0.000

Values from the calculation:
Crystal system   tetragonal
Volume   106.18 Å³ per cell
Energy relative to the lowest polymorph listed for this composition   0.139 eV per atom
Size of the total moment   0.000 μB per atom



Entry 8:
Density functional theory data (PBE) for an optimized crystal structure of TbDy3Rh2.

a = 8.332 Å, b = 8.332 Å, c = 10.766 Å
α = 115.89°, β = 115.89°, γ = 29.46°
Fractional coordinates of all 12 atoms:
Tb: 0.074 0.074 0.172
Tb: 0.926 0.926 0.828
Dy: 0.171 0.171 0.539
Dy: 0.291 0.291 0.911
Dy: 0.444 0.444 0.290
Dy: 0.556 0.556 0.710
Dy: 0.709 0.709 0.089
Dy: 0.829 0.829 0.461
Rh: 0.118 0.118 0.909
Rh: 0.365 0.365 0.646
Rh: 0.635 0.635 0.354
Rh: 0.882 0.882 0.091

Values from the calculation:
Crystal system   monoclinic
Volume   328.01 Å³ per cell
Energy relative to the lowest polymorph listed for this composition   0.080 eV per atom
Size of the total moment   0.000 μB per atom



Number 1: DOS(E_F) 3.41 states/eV/cell, mass density 9.313 g/cm3, final energy -6.08 eV per atom. Number 2: DOS(E_F) 12.04 states/eV/cell, mass density 8.098 g/cm3, final energy -5.45 eV per atom. Number 3: DOS(E_F) 16.49 states/eV/cell, mass density 8.622 g/cm3, final energy -5.71 eV per atom. Number 4: DOS(E_F) 7.78 states/eV/cell, mass density 8.783 g/cm3, final energy -6.05 eV per atom. Number 5: DOS(E_F) 5.01 states/eV/cell, mass density 9.352 g/cm3, final energy -6.15 eV per atom. Number 6: DOS(E_F) 2.99 states/eV/cell, mass density 8.924 g/cm3, final energy -6.11 eV per atom. Number 7: DOS(E_F) 5.18 states/eV/cell, mass density 9.121 g/cm3, final energy -5.68 eV per atom. Number 8: DOS(E_F) 11.34 states/eV/cell, mass density 8.629 g/cm3, final energy -6.10 eV per atom.